Below is a relaxed ZrScCdOs crystal, with properties calculated at the PBE level.

Results
crystal system: cubic
volume: 307.0 Å³/cell
DOS at the Fermi energy: 10.69 states/eV per cell
energy above the most stable polymorph in this dataset: 105 meV per atom
density: 9.5 g cm⁻³

CIF file:
```
data_ZrScCdOs
_chemical_formula_sum 'Zr4 Sc4 Cd4 Os4'
_cell_length_a 6.746
_cell_length_b 6.746
_cell_length_c 6.746
_cell_angle_alpha 90.00
_cell_angle_beta 90.00
_cell_angle_gamma 90.00
_symmetry_space_group_name_H-M 'F -4 3 m'
_symmetry_Int_Tables_number 216
_symmetry_space_group_name_Hall 'F -4 2 3'
loop_
_atom_site_label
_atom_site_type_symbol
_atom_site_fract_x
_atom_site_fract_y
_atom_site_fract_z
Zr1 Zr 0.000 0.000 0.000
Sc1 Sc 0.000 0.000 0.500
Cd1 Cd 0.250 0.250 0.250
Os1 Os 0.250 0.250 0.750
```